VASP calculation (PBE) on a relaxed structure of Ac2Cd3Si2.

a = 11.327 Å, b = 4.546 Å, c = 7.211 Å
α = 90.00°, β = 94.41°, γ = 90.00°
Space group C2/m (No. 12)
Unique sites:
Ac 0.136 0.000 0.333 x4
Cd 0.000 0.500 0.000 x2
Cd 0.169 0.000 0.857 x4
Si 0.073 0.500 0.628 x4

Formation energy without anion corrections = -236 kJ/mol of formula units
Distance to the lowest polymorph of the same formula = 13 meV/atom
Total magnetization = 0.000 Bohr magnetons per cell